Record 1
An optimized crystal structure of TbPrSnTe. Source: Alexandria, functional GGA-PBE.

```
TbPrSnTe
1.0
2.239 1.292 7.363
-2.239 1.292 7.363
0.000 -2.585 7.363
Tb Pr Sn Te
1 1 1 1
direct
0.000 0.000 0.000 Tb
0.507 0.507 0.507 Pr
0.256 0.256 0.256 Sn
0.750 0.750 0.750 Te
```

Results
E_form (uncorrected): -421 kJ/mol of formula units
E_tot: -5.229 eV per atom
SG: R3m


Record 2
An optimized crystal structure of TbPr2Zn2Sn2. Source: Alexandria, functional GGA-PBE.

```
TbPr2Zn2Sn2
1.0
2.247 1.298 11.143
-2.247 1.298 11.143
0.000 -2.595 11.143
Tb Pr Zn Sn
1 2 2 2
direct
0.000 0.000 0.000 Tb
0.123 0.123 0.123 Pr
0.877 0.877 0.877 Pr
0.408 0.408 0.408 Zn
0.592 0.592 0.592 Zn
0.277 0.277 0.277 Sn
0.723 0.723 0.723 Sn
```

Results
E_tot: -3.911 eV per atom
SG: R-3m


Record 3
An optimized crystal structure of Pr2TcSn8. Source: Alexandria, functional GGA-PBE.

```
Pr2TcSn8
1.0
4.787 0.000 0.000
0.000 4.787 0.000
0.000 0.000 12.397
Pr Tc Sn
2 1 8
direct
0.000 0.000 0.196 Pr
0.000 0.000 0.804 Pr
0.000 0.000 0.500 Tc
0.000 0.500 0.000 Sn
0.000 0.500 0.380 Sn
0.000 0.500 0.620 Sn
0.500 0.000 0.000 Sn
0.500 0.000 0.380 Sn
0.500 0.000 0.620 Sn
0.500 0.500 0.191 Sn
0.500 0.500 0.809 Sn
```

Results
E_tot: -5.087 eV per atom
SG: P4/mmm


Record 4
An optimized crystal structure of Pr6Tc2Sn. Source: Alexandria, functional GGA-PBE.

```
Pr6Tc2Sn
1.0
-4.961 4.964 5.441
4.961 -4.964 5.441
4.961 4.964 -5.441
Pr Tc Sn
12 4 2
direct
0.018 0.815 0.204 Pr
0.237 0.526 0.289 Pr
0.237 0.948 0.711 Pr
0.282 0.307 0.588 Pr
0.282 0.693 0.975 Pr
0.389 0.185 0.204 Pr
0.611 0.815 0.796 Pr
0.718 0.307 0.025 Pr
0.718 0.693 0.412 Pr
0.763 0.052 0.289 Pr
0.763 0.474 0.711 Pr
0.982 0.185 0.796 Pr
0.000 0.122 0.122 Tc
0.000 0.878 0.878 Tc
0.391 0.391 0.000 Tc
0.609 0.609 0.000 Tc
0.000 0.500 0.500 Sn
0.500 0.000 0.500 Sn
```

Results
E_tot: -6.064 eV per atom
SG: Immm


Record 5
An optimized crystal structure of PrTcSn. Source: Alexandria, functional GGA-PBE.

```
PrTcSn
1.0
7.120 0.000 0.000
-3.560 6.166 0.000
0.000 0.000 4.913
Pr Tc Sn
3 3 3
direct
0.000 0.450 0.000 Pr
0.450 0.000 0.000 Pr
0.550 0.550 0.000 Pr
0.000 0.794 0.500 Tc
0.206 0.206 0.500 Tc
0.794 0.000 0.500 Tc
0.000 0.000 0.000 Sn
0.333 0.667 0.500 Sn
0.667 0.333 0.500 Sn
```

Results
E_tot: -6.542 eV per atom
SG: P-62m


Record 6
An optimized crystal structure of Pr5Sn2Te2. Source: Alexandria, functional GGA-PBE.

```
Pr5Sn2Te2
1.0
8.032 -4.200 0.000
8.032 4.200 0.000
0.000 0.000 8.458
Pr Sn Te
10 4 4
direct
0.000 0.000 0.000 Pr
0.034 0.696 0.666 Pr
0.196 0.534 0.166 Pr
0.304 0.966 0.666 Pr
0.466 0.804 0.166 Pr
0.500 0.500 0.500 Pr
0.534 0.196 0.834 Pr
0.696 0.034 0.334 Pr
0.804 0.466 0.834 Pr
0.966 0.304 0.334 Pr
0.131 0.869 0.370 Sn
0.369 0.631 0.870 Sn
0.631 0.369 0.130 Sn
0.869 0.131 0.630 Sn
0.202 0.202 0.000 Te
0.298 0.298 0.500 Te
0.702 0.702 0.500 Te
0.798 0.798 0.000 Te
```

Results
E_form (uncorrected): -922 kJ/mol of formula units
E_tot: -5.305 eV per atom
SG: Cmce


Record 7
An optimized crystal structure of Pr6SnTe3. Source: Alexandria, functional GGA-PBE.

```
Pr6SnTe3
1.0
12.635 0.000 0.000
0.000 4.354 0.000
-3.598 0.000 12.570
Pr Sn Te
12 2 6
direct
0.008 0.250 0.358 Pr
0.096 0.250 0.904 Pr
0.252 0.750 0.290 Pr
0.299 0.750 0.756 Pr
0.383 0.250 0.541 Pr
0.430 0.750 0.117 Pr
0.570 0.250 0.883 Pr
0.617 0.750 0.459 Pr
0.701 0.250 0.244 Pr
0.748 0.250 0.710 Pr
0.904 0.750 0.096 Pr
0.992 0.750 0.642 Pr
0.454 0.250 0.311 Sn
0.546 0.750 0.689 Sn
0.094 0.250 0.147 Te
0.174 0.750 0.504 Te
0.348 0.250 0.937 Te
0.652 0.750 0.063 Te
0.826 0.250 0.496 Te
0.906 0.750 0.853 Te
```

Results
E_form (uncorrected): -929 kJ/mol of formula units
E_tot: -5.174 eV per atom
SG: P2_1/m


Record 8
An optimized crystal structure of Pr6SnTe4. Source: Alexandria, functional GGA-PBE.

```
Pr6SnTe4
1.0
2.239 -7.298 0.000
2.239 7.298 0.000
0.000 0.000 22.676
Pr Sn Te
12 2 8
direct
0.000 0.000 0.000 Pr
0.000 0.000 0.500 Pr
0.172 0.828 0.750 Pr
0.267 0.733 0.103 Pr
0.267 0.733 0.397 Pr
0.439 0.561 0.668 Pr
0.439 0.561 0.832 Pr
0.561 0.439 0.168 Pr
0.561 0.439 0.332 Pr
0.733 0.267 0.603 Pr
0.733 0.267 0.897 Pr
0.828 0.172 0.250 Pr
0.172 0.828 0.250 Sn
0.828 0.172 0.750 Sn
0.081 0.919 0.627 Te
0.081 0.919 0.873 Te
0.354 0.646 0.536 Te
0.354 0.646 0.964 Te
0.646 0.354 0.036 Te
0.646 0.354 0.464 Te
0.919 0.081 0.127 Te
0.919 0.081 0.373 Te
```

Results
E_form (uncorrected): -1256 kJ/mol of formula units
E_tot: -5.297 eV per atom
SG: Cmcm